No. 1
# NaAuSeN2 GGA-PBE relaxed
# **Space-group type**: P4/mmm, No. 123
# **ΔE_f (raw)**: 1.99 eV per atom
data_NaAuSeN2
_cell_length_a 4.266
_cell_length_b 4.266
_cell_length_c 5.842
_cell_angle_alpha 90.00
_cell_angle_beta 90.00
_cell_angle_gamma 90.00
_symmetry_space_group_name_H-M 'P 1'
_symmetry_Int_Tables_number 1
loop_
_symmetry_equiv_pos_as_xyz
'x,y,z'
loop_
_atom_site_label
_atom_site_fract_x
_atom_site_fract_y
_atom_site_fract_z
N1 0.000 0.500 0.000
N2 0.500 0.000 0.000
Na1 0.000 0.000 0.000
Au1 0.500 0.500 0.500
Se1 0.000 0.000 0.500


No. 2
# RbSn2Pt GGA-PBE relaxed
# **Uncorrected energy**: -4.051 eV per atom
# **Space-group type**: P4/mmm, No. 123
data_RbSn2Pt
_cell_length_a 3.490
_cell_length_b 3.490
_cell_length_c 8.820
_cell_angle_alpha 90.00
_cell_angle_beta 90.00
_cell_angle_gamma 90.00
_symmetry_space_group_name_H-M 'P 1'
_symmetry_Int_Tables_number 1
loop_
_symmetry_equiv_pos_as_xyz
'x,y,z'
loop_
_atom_site_label
_atom_site_fract_x
_atom_site_fract_y
_atom_site_fract_z
Sn1 0.000 0.000 0.824
Sn2 0.000 0.000 0.176
Rb1 0.500 0.500 0.500
Pt1 0.500 0.500 0.000


No. 3
# TbTh2Pb9 GGA-PBE relaxed
# **Uncorrected energy**: -4.651 eV per atom
# **Space-group type**: P4/mmm, No. 123
data_TbTh2Pb9
_cell_length_a 4.907
_cell_length_b 4.907
_cell_length_c 14.670
_cell_angle_alpha 90.00
_cell_angle_beta 90.00
_cell_angle_gamma 90.00
_symmetry_space_group_name_H-M 'P 1'
_symmetry_Int_Tables_number 1
loop_
_symmetry_equiv_pos_as_xyz
'x,y,z'
loop_
_atom_site_label
_atom_site_fract_x
_atom_site_fract_y
_atom_site_fract_z
Pb1 0.500 0.000 0.164
Pb2 0.500 0.500 0.668
Pb3 0.500 0.000 0.836
Pb4 0.500 0.500 0.000
Pb5 0.000 0.500 0.836
Pb6 0.500 0.500 0.332
Pb7 0.500 0.000 0.500
Pb8 0.000 0.500 0.500
Pb9 0.000 0.500 0.164
Tb1 0.000 0.000 0.000
Th1 0.000 0.000 0.336
Th2 0.000 0.000 0.664


No. 4
# Na2NiH4 GGA-PBE relaxed
# **Uncorrected energy**: -3.277 eV per atom
# **Space-group type**: Cmmm, No. 65
data_Na2NiH4
_cell_length_a 3.391
_cell_length_b 3.419
_cell_length_c 7.272
_cell_angle_alpha 103.59
_cell_angle_beta 90.00
_cell_angle_gamma 90.00
_symmetry_space_group_name_H-M 'P 1'
_symmetry_Int_Tables_number 1
loop_
_symmetry_equiv_pos_as_xyz
'x,y,z'
loop_
_atom_site_label
_atom_site_fract_x
_atom_site_fract_y
_atom_site_fract_z
H1 0.000 0.887 0.775
H2 0.000 0.500 0.000
H3 0.500 0.000 0.000
H4 0.000 0.113 0.225
Na1 0.500 0.619 0.238
Na2 0.500 0.381 0.762
Ni1 0.000 0.000 0.000


No. 5
# SrBeCd2 GGA-PBE relaxed
# **Uncorrected energy**: -1.666 eV per atom
# **Space-group type**: P2/m, No. 10
data_SrBeCd2
_cell_length_a 4.243
_cell_length_b 3.917
_cell_length_c 6.291
_cell_angle_alpha 73.81
_cell_angle_beta 90.00
_cell_angle_gamma 90.00
_symmetry_space_group_name_H-M 'P 1'
_symmetry_Int_Tables_number 1
loop_
_symmetry_equiv_pos_as_xyz
'x,y,z'
loop_
_atom_site_label
_atom_site_fract_x
_atom_site_fract_y
_atom_site_fract_z
Cd1 0.000 0.904 0.938
Cd2 0.000 0.596 0.562
Be1 0.500 0.750 0.750
Sr1 0.500 0.250 0.250


No. 6
# Y5Ir2Pb2 GGA-PBE relaxed
# **Uncorrected energy**: -7.039 eV per atom
# **Space-group type**: Cmce, No. 64
data_Y5Ir2Pb2
_cell_length_a 7.274
_cell_length_b 8.419
_cell_length_c 8.901
_cell_angle_alpha 118.22
_cell_angle_beta 90.00
_cell_angle_gamma 90.00
_symmetry_space_group_name_H-M 'P 1'
_symmetry_Int_Tables_number 1
loop_
_symmetry_equiv_pos_as_xyz
'x,y,z'
loop_
_atom_site_label
_atom_site_fract_x
_atom_site_fract_y
_atom_site_fract_z
Y1 0.653 0.061 0.764
Y2 0.500 0.500 0.000
Y3 0.653 0.297 0.236
Y4 0.847 0.797 0.236
Y5 0.847 0.561 0.764
Y6 0.153 0.439 0.236
Y7 0.347 0.703 0.764
Y8 0.347 0.939 0.236
Y9 0.000 0.000 0.000
Y10 0.153 0.203 0.764
Pb1 0.000 0.215 0.430
Pb2 0.000 0.785 0.570
Pb3 0.500 0.715 0.430
Pb4 0.500 0.285 0.570
Ir1 0.365 0.125 0.000
Ir2 0.865 0.375 0.000
Ir3 0.135 0.625 0.000
Ir4 0.635 0.875 0.000


No. 7
# ReAgBr2 GGA-PBE relaxed
# **Space-group type**: F-43m, No. 216
# **ΔE_f (raw)**: 1.35 eV per atom
data_ReAgBr2
_cell_length_a 5.026
_cell_length_b 5.026
_cell_length_c 5.026
_cell_angle_alpha 60.00
_cell_angle_beta 60.00
_cell_angle_gamma 60.00
_symmetry_space_group_name_H-M 'P 1'
_symmetry_Int_Tables_number 1
loop_
_symmetry_equiv_pos_as_xyz
'x,y,z'
loop_
_atom_site_label
_atom_site_fract_x
_atom_site_fract_y
_atom_site_fract_z
Br1 0.000 0.000 0.000
Br2 0.750 0.750 0.750
Re1 0.250 0.250 0.250
Ag1 0.500 0.500 0.500


No. 8
# SrSc2Cr GGA-PBE relaxed
# **Uncorrected energy**: -5.696 eV per atom
# **Space-group type**: P4/mmm, No. 123
data_SrSc2Cr
_cell_length_a 3.384
_cell_length_b 3.383
_cell_length_c 9.752
_cell_angle_alpha 69.74
_cell_angle_beta 90.00
_cell_angle_gamma 90.00
_symmetry_space_group_name_H-M 'P 1'
_symmetry_Int_Tables_number 1
loop_
_symmetry_equiv_pos_as_xyz
'x,y,z'
loop_
_atom_site_label
_atom_site_fract_x
_atom_site_fract_y
_atom_site_fract_z
Cr1 0.500 0.750 0.750
Sr1 0.500 0.250 0.250
Sc1 0.000 0.081 0.919
Sc2 0.000 0.419 0.581